(1)
Here is crystalline Cs2CrAgS4 at its relaxed geometry from Alexandria via LeMat-Bulk. Energies are from PBE-GGA.

Properties
The uncorrected formation energy comes out at -75 kJ/mol of atoms. As for the calculated total energy: -73.87 eV for the cell shown. Its volume is 31.7 A^3/atom. The symmetry is Fddd, No. 70.

Cell: 5.8908 7.6566 12.5471 Å, 84.82 76.42 67.38°
Last column: nearest neighbours and their distance in Å.
Element x y z (fractional)
Cs 0.1770 0.0000 0.6461  6 S 3.53-3.80
Cs 0.8230 0.0000 0.3539  6 S 3.53-3.80
Cs 0.5730 0.5000 0.8539  6 S 3.53-3.80
Cs 0.9270 0.5000 0.1461  6 S 3.53-3.80
Cr 0.2500 0.5000 0.5000  4 S 2.16
Cr 0.5000 0.0000 0.0000  4 S 2.16
Ag 0.7500 0.5000 0.5000  4 S 2.51
Ag 0.0000 0.0000 0.0000  4 S 2.51
S 0.3364 0.8188 0.1038  1 Cr 2.16
S 0.2590 0.1812 0.8962  1 Cr 2.16
S 0.8448 0.8188 0.8962  1 Cr 2.16
S 0.5598 0.1812 0.1038  1 Cr 2.16
S 0.4136 0.6812 0.3962  1 Cr 2.16
S 0.4910 0.3188 0.6038  1 Cr 2.16
S 0.9052 0.6812 0.6038  1 Cr 2.16
S 0.1902 0.3188 0.3962  1 Cr 2.16


(2)
Here is crystalline CsCrAgS2 at its relaxed geometry from Alexandria via LeMat-Bulk. Energies are from PBE-GGA.

Properties
The uncorrected formation energy comes out at -55 kJ/mol of atoms. As for the calculated total energy: -48.89 eV for the cell shown. Its volume is 24.9 A^3/atom. The symmetry is Cmme, No. 67.

Cell: 6.0346 5.6865 7.7921 Å, 111.40 90.00 90.00°
Last column: nearest neighbours and their distance in Å.
Element x y z (fractional)
Cs 0.2330 0.7500 0.5000  6 S 3.46-3.61
Cs 0.7670 0.2500 0.5000  6 S 3.46-3.61
Cr 0.5000 0.7500 0.0000  4 S 2.31
Cr 0.5000 0.2500 0.0000  4 S 2.31
Ag 0.0000 0.0000 0.0000  2 S 2.42
Ag 0.0000 0.5000 0.0000  2 S 2.42
S 0.6805 0.8993 0.7986  2 Cr 2.31, 1 Ag 2.42
S 0.6805 0.6007 0.2014  2 Cr 2.31, 1 Ag 2.42
S 0.3195 0.3993 0.7986  2 Cr 2.31, 1 Ag 2.42
S 0.3195 0.1007 0.2014  2 Cr 2.31, 1 Ag 2.42


(3)
Here is crystalline CsCrAg2Se4 at its relaxed geometry from Alexandria via LeMat-Bulk. Energies are from PBE-GGA.

Properties
The uncorrected formation energy comes out at -38 kJ/mol of atoms. As for the calculated total energy: -33.23 eV for the cell shown. Its volume is 30.7 A^3/atom. The symmetry is I222, No. 23.

Cell: 6.6281 6.9460 6.9460 Å, 81.70 61.50 61.50°
Last column: nearest neighbours and their distance in Å.
Element x y z (fractional)
Cs 0.0000 0.0000 0.0000  8 Se 3.67-3.68
Cr 0.0000 0.5000 0.5000  4 Se 2.29
Ag 0.5000 0.6625 0.3375  2 Se 2.53
Ag 0.5000 0.3375 0.6625  2 Se 2.53
Se 0.6470 0.5216 0.8206  1 Cr 2.29, 1 Ag 2.53
Se 0.3530 0.1794 0.4784  1 Cr 2.29, 1 Ag 2.53
Se 0.9892 0.4784 0.1794  1 Cr 2.29, 1 Ag 2.53
Se 0.0108 0.8206 0.5216  1 Cr 2.29, 1 Ag 2.53


| no. | calculated density (Mg/m³) |
| --- | --- |
| 1 | 3.62 |
| 2 | 4.76 |
| 3 | 4.85 |